VASP calculation (GGA-PBE) on an optimized crystal structure of CaPdPb.

Cell: 4.8008 4.8008 3.6960 Å, 90.00 90.00 120.00°
Space group P-6m2 (No. 187)
Unique sites:
Ca (0.0000, 0.0000, 0.0000) x1
Pd (0.6667, 0.3333, 0.5000) x1
Pb (0.3333, 0.6667, 0.5000) x1

Results
- Formation energy: -563 meV/atom

VASP calculation (GGA-PBE) on an optimized crystal structure of La2MgSc.

Cell: 5.698 5.698 3.784 Å, 90.00 90.00 90.00°
Space group P4/mmm (No. 123)
Unique sites:
La (0.000, 0.500, 0.000) x2
Mg (0.000, 0.000, 0.500) x1
Sc (0.500, 0.500, 0.500) x1

Results
- Formation energy: -15 meV/atom

VASP calculation (GGA-PBE) on an optimized crystal structure of LaTlBr3.

Cell: 5.900 5.900 5.900 Å, 90.00 90.00 90.00°
Space group Pm-3m (No. 221)
Unique sites:
La (0.000, 0.000, 0.000) x1
Tl (0.500, 0.500, 0.500) x1
Br (0.000, 0.000, 0.500) x3

Results
- E_form (uncorrected): -1.284 eV per atom
- Energy above the most stable polymorph in this dataset: 0 meV/atom

VASP calculation (GGA-PBE) on an optimized crystal structure of Tb2Ni4SbAs3.

Cell: 4.156 4.156 9.912 Å, 90.00 90.00 90.00°
Space group P-4m2 (No. 115)
Unique sites:
Tb (0.000, 0.500, 0.228) x2
Ni (0.000, 0.000, 0.000) x1
Ni (0.000, 0.500, 0.640) x2
Ni (0.500, 0.500, 0.000) x1
Sb (0.000, 0.000, 0.500) x1
As (0.000, 0.500, 0.874) x2
As (0.500, 0.500, 0.500) x1

Results
- E_form (uncorrected): -0.719 eV per atom

VASP calculation (GGA-PBE) on an optimized crystal structure of LiTlSb4.

Cell: 8.994 8.994 8.994 Å, 90.00 90.00 90.00°
Space group F-43m (No. 216)
Unique sites:
Li (0.000, 0.000, 0.000) x4
Tl (0.250, 0.250, 0.250) x4
Sb (0.125, 0.125, 0.625) x16

Results
- E_form (uncorrected): -0.002 eV per atom

VASP calculation (GGA-PBE) on an optimized crystal structure of CrGa2B.

Cell: 7.251 7.251 4.387 Å, 90.00 90.00 90.00°
Space group I-42d (No. 122)
Unique sites:
Cr (0.000, 0.000, 0.000) x4
Ga (0.153, 0.250, 0.625) x8
B (0.000, 0.000, 0.500) x4

Results
- Formation energy: 393 meV/atom
- Energy above the most stable polymorph in this dataset: 0 meV/atom

Calculated total magnetic moment, 0.00 0.00 0.86 0.00 0.00 3.00 μB per formula unit (same order as the records).
Calculated energy, -4.197 -4.460 -3.747 -5.764 -3.464 -5.195 eV/atom (same order as the records).